Here is FeAgAs2O8 after structural relaxation from Alexandria via LeMat-Bulk. Energies are from PBE+U.

Unit cell a=5.235 b=5.235 c=6.917 alpha=90.00 beta=90.00 gamma=120.00
Fractional positions:
Fe (0.000, 0.000, 0.000)
Ag (0.000, 0.000, 0.500)
As (0.333, 0.667, 0.759)
As (0.667, 0.333, 0.241)
O (0.054, 0.732, 0.822)
O (0.268, 0.321, 0.822)
O (0.321, 0.054, 0.178)
O (0.333, 0.667, 0.508)
O (0.667, 0.333, 0.492)
O (0.679, 0.946, 0.822)
O (0.732, 0.679, 0.178)
O (0.946, 0.268, 0.178)

Properties
The total energy comes out at -5.590 eV/atom.